No. 1
VASP calculation (PBE-GGA) on crystalline ErGeNO at its relaxed geometry.

a = 3.8217 Å, b = 6.4879 Å, c = 4.9222 Å
α = 90.00°, β = 90.00°, γ = 90.00°
With the nearest neighbours (Å) after each atom.
Space group Pmc2_1 (No. 26)
One atom of each set of equivalent atoms:
Er1 0.0000 0.2013 0.0000 [2 per cell]  2 O 2.14-2.17, 2 N 2.32
Ge1 0.5000 0.3296 0.4767 [2 per cell]  2 N 1.90-2.01
N1 0.5000 0.3738 0.8578 [2 per cell]  2 Ge 1.90-2.01
O1 0.0000 0.1235 0.5705 [2 per cell]  2 Er 2.14-2.17, 2 Ge 2.38

Properties
Relative energy among the computed polymorphs, eV/atom: 0.136

=====

No. 2
VASP calculation (PBE-GGA) on crystalline ErGeNO at its relaxed geometry.

a = 3.2425 Å, b = 5.4726 Å, c = 6.0063 Å
α = 90.00°, β = 90.00°, γ = 90.00°
With the nearest neighbours (Å) after each atom.
Space group Pmc2_1 (No. 26)
One atom of each set of equivalent atoms:
Er1 0.0000 0.1282 0.0000 [2 per cell]  2 N 2.29-2.33, 4 O 2.38-2.44
Ge1 0.5000 0.3927 0.5091 [2 per cell]  2 N 1.93, 1 O 2.02
N1 0.0000 0.2684 0.6403 [2 per cell]  2 Ge 1.93
O1 0.5000 0.1125 0.2895 [2 per cell]  1 Ge 2.02

Properties
Relative energy among the computed polymorphs, eV/atom: 0.000

=====

No. 3
VASP calculation (PBE-GGA) on crystalline ErGeNO at its relaxed geometry.

a = 6.3493 Å, b = 6.6497 Å, c = 5.4097 Å
α = 90.00°, β = 90.00°, γ = 90.00°
With the nearest neighbours (Å) after each atom.
Space group Pca2_1 (No. 29)
One atom of each set of equivalent atoms:
Er1 0.0735 0.1712 0.0000 [4 per cell]  3 N 2.23-2.27, 1 O 2.25
Ge1 0.1130 0.6716 0.0005 [4 per cell]  1 N 1.90, 2 O 1.93-2.00
N1 0.0856 0.1258 0.4141 [4 per cell]  1 Ge 1.90
O1 0.0526 0.4548 0.7736 [4 per cell]  2 Ge 1.93-2.00

Properties
Relative energy among the computed polymorphs, eV/atom: 0.076

=====

No. 4
VASP calculation (PBE-GGA) on crystalline NaErGeO4 at its relaxed geometry.

a = 11.3315 Å, b = 6.3652 Å, c = 5.2469 Å
α = 90.00°, β = 90.00°, γ = 90.00°
With the nearest neighbours (Å) after each atom.
Space group Pnma (No. 62)
One atom of each set of equivalent atoms:
Na1 0.0000 0.0000 0.0000 [4 per cell]  6 O 2.34-2.51
Er1 0.2230 0.2500 0.4951 [4 per cell]  6 O 2.19-2.32
Ge1 0.0972 0.7500 0.5534 [4 per cell]  4 O 1.73-1.80
O1 0.0469 0.2500 0.3242 [4 per cell]  1 Ge 1.75
O2 0.1100 0.7500 0.2241 [4 per cell]  1 Ge 1.73
O3 0.1748 0.5394 0.7107 [8 per cell]  1 Ge 1.80

=====

No. 5
VASP calculation (PBE-GGA) on crystalline NaErGeTe3 at its relaxed geometry.

a = 4.5255 Å, b = 14.7097 Å, c = 11.6252 Å
α = 90.00°, β = 90.00°, γ = 90.00°
With the nearest neighbours (Å) after each atom.
Space group Cmcm (No. 63)
One atom of each set of equivalent atoms:
Na1 0.0000 0.2343 0.2500 [4 per cell]  6 Te 3.36-3.50
Er1 0.0000 0.0000 0.0000 [4 per cell]  6 Te 3.12-3.24
Ge1 0.0000 0.4777 0.7500 [4 per cell]  4 Te 2.85-2.86
Te1 0.0000 0.0966 0.7500 [4 per cell]  2 Ge 2.86
Te2 0.0000 0.3606 0.5548 [8 per cell]  1 Ge 2.85, 2 Er 3.12

=====

No. 6
VASP calculation (PBE-GGA) on crystalline Er2Nb3Ge4 at its relaxed geometry.

a = 6.9857 Å, b = 13.5237 Å, c = 7.1623 Å
α = 90.00°, β = 90.00°, γ = 90.00°
With the nearest neighbours (Å) after each atom.
Space group Pnma (No. 62)
One atom of each set of equivalent atoms:
Er1 0.0037 0.0947 0.1741 [8 per cell]  7 Ge 2.84-3.06
Nb1 0.1593 0.6264 0.3286 [8 per cell]  6 Ge 2.64-2.80
Nb2 0.1654 0.2500 0.5113 [4 per cell]  6 Ge 2.73-2.83, 2 Nb 3.04
Ge1 0.0400 0.2500 0.8803 [4 per cell]  1 Ge 2.63, 6 Nb 2.64-2.78
Ge2 0.1756 0.0413 0.5379 [8 per cell]  4 Nb 2.64-2.83, 1 Ge 2.75, 2 Er 2.84-2.96
Ge3 0.1943 0.7500 0.6399 [4 per cell]  1 Ge 2.63, 4 Nb 2.74-2.83, 2 Er 2.85

=====

Uncorrected energy (eV for the cell shown)
-55.8 -56.9 -112.6 -190.9 -97.1 -258.3